{
  "formula": "CaTb6Tm6",
  "functional": "PBE",
  "state": "relaxed",
  "lattice_angstrom": [[6.682, 0.000, 0.000], [-3.341, 5.787, 0.000], [0.000, 0.000, 11.296]],
  "species": ["Ca", "Tb", "Tb", "Tb", "Tb", "Tb", "Tb", "Tm", "Tm", "Tm", "Tm", "Tm", "Tm"],
  "fractional_positions": [[0.000, 0.000, 0.000], [0.000, 0.000, 0.347], [0.000, 0.000, 0.653], [0.333, 0.667, 0.000], [0.333, 0.667, 0.500], [0.667, 0.333, 0.000], [0.667, 0.333, 0.500], [0.000, 0.500, 0.247], [0.000, 0.500, 0.753], [0.500, 0.000, 0.247], [0.500, 0.000, 0.753], [0.500, 0.500, 0.247], [0.500, 0.500, 0.753]],
  "ef_ev_per_atom": 0.27,
  "magmom_total_mub_per_cell": 3.67
}


{
  "formula": "Sr3ZnIn3",
  "functional": "PBE",
  "state": "relaxed",
  "lattice_angstrom": [[6.091, -2.393, 0.000], [6.091, 2.393, 0.000], [-5.728, 0.000, 15.638]],
  "species": ["Sr", "Sr", "Sr", "Sr", "Sr", "Sr", "Zn", "Zn", "In", "In", "In", "In", "In", "In"],
  "fractional_positions": [[0.036, 0.036, 0.388], [0.106, 0.106, 0.920], [0.250, 0.250, 0.234], [0.750, 0.750, 0.766], [0.894, 0.894, 0.080], [0.964, 0.964, 0.612], [0.258, 0.258, 0.606], [0.742, 0.742, 0.394], [0.356, 0.356, 0.458], [0.390, 0.390, 0.922], [0.459, 0.459, 0.761], [0.541, 0.541, 0.239], [0.610, 0.610, 0.078], [0.644, 0.644, 0.542]],
  "ef_ev_per_atom": -0.38,
  "magmom_total_mub_per_cell": 0.00
}


{
  "formula": "SmY2Pa",
  "functional": "PBE",
  "state": "relaxed",
  "lattice_angstrom": [[1.677, 0.968, 12.364], [-1.677, 0.968, 12.364], [0.000, -1.936, 12.364]],
  "species": ["Sm", "Y", "Y", "Pa"],
  "fractional_positions": [[0.000, 0.000, 0.000], [0.413, 0.413, 0.413], [0.587, 0.587, 0.587], [0.500, 0.500, 0.500]],
  "ef_ev_per_atom": 0.31,
  "magmom_total_mub_per_cell": 0.00
}


{
  "formula": "Sn12Ge3As5",
  "functional": "PBE",
  "state": "relaxed",
  "lattice_angstrom": [[-8.476, 8.476, 8.476], [8.476, -8.476, 8.476], [8.476, 8.476, -8.476]],
  "species": ["Sn", "Sn", "Sn", "Sn", "Sn", "Sn", "Sn", "Sn", "Sn", "Sn", "Sn", "Sn", "Sn", "Sn", "Sn", "Sn", "Sn", "Sn", "Sn", "Sn", "Sn", "Sn", "Sn", "Sn", "Sn", "Sn", "Sn", "Sn", "Sn", "Sn", "Sn", "Sn", "Sn", "Sn", "Sn", "Sn", "Sn", "Sn", "Sn", "Sn", "Sn", "Sn", "Sn", "Sn", "Sn", "Sn", "Sn", "Sn", "Ge", "Ge", "Ge", "Ge", "Ge", "Ge", "Ge", "Ge", "Ge", "Ge", "Ge", "Ge", "As", "As", "As", "As", "As", "As", "As", "As", "As", "As", "As", "As", "As", "As", "As", "As", "As", "As", "As", "As"],
  "fractional_positions": [[0.058, 0.225, 0.146], [0.058, 0.334, 0.913], [0.079, 0.725, 0.666], [0.079, 0.854, 0.413], [0.087, 0.646, 0.421], [0.087, 0.942, 0.666], [0.146, 0.058, 0.225], [0.146, 0.587, 0.921], [0.166, 0.225, 0.579], [0.166, 0.442, 0.587], [0.225, 0.146, 0.058], [0.225, 0.579, 0.166], [0.275, 0.334, 0.921], [0.275, 0.442, 0.354], [0.334, 0.913, 0.058], [0.334, 0.921, 0.275], [0.354, 0.275, 0.442], [0.354, 0.579, 0.913], [0.413, 0.079, 0.854], [0.413, 0.834, 0.558], [0.421, 0.087, 0.646], [0.421, 0.834, 0.775], [0.442, 0.354, 0.275], [0.442, 0.587, 0.166], [0.558, 0.413, 0.834], [0.558, 0.646, 0.725], [0.579, 0.166, 0.225], [0.579, 0.913, 0.354], [0.587, 0.166, 0.442], [0.587, 0.921, 0.146], [0.646, 0.421, 0.087], [0.646, 0.725, 0.558], [0.666, 0.079, 0.725], [0.666, 0.087, 0.942], [0.725, 0.558, 0.646], [0.725, 0.666, 0.079], [0.775, 0.421, 0.834], [0.775, 0.854, 0.942], [0.834, 0.558, 0.413], [0.834, 0.775, 0.421], [0.854, 0.413, 0.079], [0.854, 0.942, 0.775], [0.913, 0.058, 0.334], [0.913, 0.354, 0.579], [0.921, 0.146, 0.587], [0.921, 0.275, 0.334], [0.942, 0.666, 0.087], [0.942, 0.775, 0.854], [0.125, 0.250, 0.375], [0.125, 0.375, 0.750], [0.250, 0.375, 0.125], [0.250, 0.875, 0.625], [0.375, 0.125, 0.250], [0.375, 0.750, 0.125], [0.625, 0.250, 0.875], [0.625, 0.875, 0.750], [0.750, 0.125, 0.375], [0.750, 0.625, 0.875], [0.875, 0.625, 0.250], [0.875, 0.750, 0.625], [0.000, 0.000, 0.000], [0.000, 0.000, 0.500], [0.000, 0.500, 0.000], [0.000, 0.500, 0.500], [0.125, 0.750, 0.875], [0.125, 0.875, 0.250], [0.250, 0.125, 0.875], [0.250, 0.625, 0.375], [0.375, 0.250, 0.625], [0.375, 0.625, 0.750], [0.500, 0.000, 0.000], [0.500, 0.000, 0.500], [0.500, 0.500, 0.000], [0.500, 0.500, 0.500], [0.625, 0.375, 0.250], [0.625, 0.750, 0.375], [0.750, 0.375, 0.625], [0.750, 0.875, 0.125], [0.875, 0.125, 0.750], [0.875, 0.250, 0.125]],
  "ef_ev_per_atom": 0.16,
  "magmom_total_mub_per_cell": 0.00
}


{
  "formula": "Tb6Er5Mg",
  "functional": "PBE",
  "state": "relaxed",
  "lattice_angstrom": [[-2.493, 4.935, 7.471], [2.493, -4.935, 7.471], [2.493, 4.935, -7.471]],
  "species": ["Tb", "Tb", "Tb", "Tb", "Tb", "Tb", "Er", "Er", "Er", "Er", "Er", "Mg"],
  "fractional_positions": [[0.081, 0.833, 0.248], [0.249, 0.500, 0.749], [0.416, 0.167, 0.248], [0.584, 0.833, 0.752], [0.751, 0.500, 0.251], [0.919, 0.167, 0.752], [0.168, 0.668, 0.500], [0.335, 0.335, 0.000], [0.500, 0.000, 0.500], [0.665, 0.665, 0.000], [0.832, 0.332, 0.500], [0.000, 0.000, 0.000]],
  "ef_ev_per_atom": 0.02,
  "magmom_total_mub_per_cell": 0.00
}


{
  "formula": "ZrTi3Ag",
  "functional": "PBE",
  "state": "relaxed",
  "lattice_angstrom": [[4.861, 0.000, 0.000], [0.000, 4.861, 0.000], [0.000, 0.000, 4.861]],
  "species": ["Zr", "Ti", "Ti", "Ti", "Ag"],
  "fractional_positions": [[0.000, 0.000, 0.000], [0.000, 0.500, 0.500], [0.500, 0.000, 0.500], [0.500, 0.500, 0.000], [0.500, 0.500, 0.500]],
  "de_polymorph_ev_per_fu": 0.00,
  "ef_ev_per_atom": 1.01,
  "magmom_total_mub_per_cell": 3.20
}


no.,calculated volume (Å³/atom)
1,33.6
2,32.6
3,30.1
4,30.4
5,30.6
6,23.0